Material: ScFe2Se
Method: DFT, PBE
State: relaxed

Geometry as POSCAR:
```
ScFe2Se
1.0
3.345 0.000 0.000
0.000 3.345 0.000
0.000 0.000 5.724
Sc Fe Se
1 2 1
Cartesian
0.000 0.000 0.000
0.000 0.000 3.050
1.673 1.673 4.070
1.673 1.673 1.375
```

- Total moment: 5.0 μB per formula unit
- Raw formation energy: -0.244 eV per atom
- Electronic total energy: -27.72 eV per cell
- Density: 6109 kg/m³
- Space group: P4mm


Material: ScFeSe2
Method: DFT, PBE
State: relaxed

Geometry as POSCAR:
```
ScFeSe2
1.0
1.771 1.022 8.118
-1.771 1.022 8.118
0.000 -2.045 8.118
Sc Fe Se
1 1 2
Cartesian
0.000 0.000 0.000
0.000 0.000 12.177
0.000 0.000 2.624
0.000 0.000 21.730
```

- Total moment: 2.9 μB per formula unit
- Raw formation energy: -0.265 eV per atom
- Electronic total energy: -22.82 eV per cell
- Density: 4873 kg/m³
- Energy relative to the lowest polymorph listed for this composition: 0.609 eV per atom
- Space group: R-3m


> Which of these has the highest electronic total energy?

ScFeSe2


> Which value of electronic total energy does entry 1 give?

-27.72 eV per cell


> electronic total energy of number 2 (ScFeSe2)?

-22.82 eV per cell